Entry from Alexandria: a geometry-optimized Ca2PuP3 structure (GGA-PBE).

Cell lengths 7.058, 7.058, 7.058 Å; angles 146.32, 132.61, 59.39 degrees
Fractional coordinates of all 6 atoms:
Ca (0.171, 0.171, 0.000)
Ca (0.829, 0.829, 0.000)
Pu (0.500, 0.500, 0.000)
P (0.000, 0.500, 0.500)
P (0.352, 0.852, 0.500)
P (0.648, 0.148, 0.500)

Results
* size of the total moment: 3.121 μB/f.u.
* offset from the most stable computed form: 11.9 kJ/mol of formula units
* symmetry: Immm, No. 71
* DOS(E_F): 1.667 states/eV/atom
* calculated formation energy: -1.007 eV per atom

=====

Entry from Alexandria: a geometry-optimized CaPuP structure (GGA-PBE).

Cell lengths 6.396, 6.396, 6.252 Å; angles 90.00, 90.00, 143.37 degrees
Fractional coordinates of all 6 atoms:
Ca (0.000, 0.000, 0.000)
Ca (0.000, 0.000, 0.500)
Pu (0.283, 0.717, 0.750)
Pu (0.717, 0.283, 0.250)
P (0.380, 0.620, 0.250)
P (0.620, 0.380, 0.750)

Results
* size of the total moment: 6.913 μB/f.u.
* symmetry: Cmcm, No. 63
* DOS(E_F): 2.941 states/eV/atom
* calculated formation energy: -0.628 eV per atom

=====

Entry from Alexandria: a geometry-optimized Ca3PuSb2P structure (GGA-PBE).

Cell lengths 8.921, 8.921, 8.921 Å; angles 146.06, 145.56, 49.13 degrees
Fractional coordinates of all 7 atoms:
Ca (0.000, 0.000, 0.000)
Ca (0.175, 0.675, 0.500)
Ca (0.825, 0.325, 0.500)
Pu (0.500, 0.500, 0.000)
Sb (0.368, 0.868, 0.500)
Sb (0.632, 0.132, 0.500)
P (0.000, 0.500, 0.500)

Results
* size of the total moment: 5.002 μB/f.u.
* energy relative to the elements, uncorrected: -0.88 eV/atom
* symmetry: Immm, No. 71
* DOS(E_F): 1.712 states/eV/atom

=====

Entry from Alexandria: a geometry-optimized CaSmPu2P4 structure (GGA-PBE).

Cell lengths 6.986, 6.986, 6.986 Å; angles 131.54, 131.54, 70.96 degrees
Fractional coordinates of all 8 atoms:
Ca (0.000, 0.000, 0.000)
Sm (0.500, 0.500, 0.000)
Pu (0.250, 0.750, 0.500)
Pu (0.750, 0.250, 0.500)
P (0.000, 0.500, 0.500)
P (0.253, 0.253, 0.000)
P (0.500, 0.000, 0.500)
P (0.747, 0.747, 0.000)

Results
* size of the total moment: 9.025 μB/f.u.
* symmetry: I4/mmm, No. 139
* DOS(E_F): 2.458 states/eV/atom
* calculated formation energy: -1.184 eV per atom

=====

Entry from Alexandria: a geometry-optimized CaSm2PuP4 structure (GGA-PBE).

Cell lengths 7.040, 4.092, 7.044 Å; angles 90.00, 109.21, 90.00 degrees
Fractional coordinates of all 8 atoms:
Ca (0.000, 0.000, 0.000)
Sm (0.000, 0.500, 0.500)
Sm (0.500, 0.000, 0.500)
Pu (0.500, 0.500, 0.000)
P (0.261, 0.000, 0.758)
P (0.261, 0.500, 0.246)
P (0.739, 0.000, 0.242)
P (0.739, 0.500, 0.754)

Results
* size of the total moment: 4.053 μB/f.u.
* symmetry: P2/m, No. 10
* DOS(E_F): 1.538 states/eV/atom
* calculated formation energy: -1.290 eV per atom

=====

Entry from Alexandria: a geometry-optimized Ca3Pu2TaP6 structure (GGA-PBE).

Cell lengths 6.825, 6.825, 6.952 Å; angles 99.47, 99.47, 120.02 degrees
Fractional coordinates of all 12 atoms:
Ca (0.000, 0.000, 0.000)
Ca (0.330, 0.670, 0.000)
Ca (0.670, 0.330, 0.000)
Pu (0.166, 0.834, 0.500)
Pu (0.834, 0.166, 0.500)
Ta (0.500, 0.500, 0.500)
P (0.110, 0.426, 0.278)
P (0.259, 0.259, 0.722)
P (0.426, 0.110, 0.278)
P (0.574, 0.890, 0.722)
P (0.741, 0.741, 0.278)
P (0.890, 0.574, 0.722)

Results
* size of the total moment: 8.998 μB/f.u.
* symmetry: C2/m, No. 12
* DOS(E_F): 1.772 states/eV/atom
* calculated formation energy: -1.039 eV per atom

=====

Entry from Alexandria: a geometry-optimized Ca2PuUP4 structure (GGA-PBE).

Cell lengths 7.006, 4.053, 7.017 Å; angles 90.00, 109.48, 90.00 degrees
Fractional coordinates of all 8 atoms:
Ca (0.000, 0.000, 0.000)
Ca (0.000, 0.500, 0.500)
Pu (0.500, 0.000, 0.500)
U (0.500, 0.500, 0.000)
P (0.275, 0.000, 0.765)
P (0.275, 0.500, 0.251)
P (0.725, 0.000, 0.235)
P (0.725, 0.500, 0.749)

Results
* size of the total moment: 6.003 μB/f.u.
* symmetry: P2/m, No. 10
* DOS(E_F): 2.011 states/eV/atom
* calculated formation energy: -1.098 eV per atom

=====

Entry from Alexandria: a geometry-optimized Ca2PuZrP4 structure (GGA-PBE).

Cell lengths 6.835, 3.967, 6.977 Å; angles 90.00, 108.98, 90.00 degrees
Fractional coordinates of all 8 atoms:
Ca (0.000, 0.000, 0.000)
Ca (0.500, 0.500, 0.000)
Pu (0.000, 0.500, 0.500)
Zr (0.500, 0.000, 0.500)
P (0.248, 0.000, 0.724)
P (0.263, 0.500, 0.275)
P (0.737, 0.500, 0.725)
P (0.752, 0.000, 0.276)

Results
* size of the total moment: 4.013 μB/f.u.
* symmetry: P2/m, No. 10
* DOS(E_F): 1.375 states/eV/atom
* calculated formation energy: -1.169 eV per atom

=====

Entry from Alexandria: a geometry-optimized RbCa3P structure (GGA-PBE).

Cell lengths 5.907, 5.907, 5.907 Å; angles 90.00, 90.00, 90.00 degrees
Fractional coordinates of all 5 atoms:
Rb (0.000, 0.000, 0.000)
Ca (0.000, 0.000, 0.500)
Ca (0.000, 0.500, 0.000)
Ca (0.500, 0.000, 0.000)
P (0.500, 0.500, 0.500)

Results
* size of the total moment: 2.183 μB/f.u.
* offset from the most stable computed form: 800.2 kJ/mol of formula units
* symmetry: Pm-3m, No. 221
* DOS(E_F): 0.718 states/eV/atom
* calculated formation energy: 1.317 eV per atom

=====

Entry from Alexandria: a geometry-optimized RbCa3P structure (GGA-PBE).

Cell lengths 5.817, 5.817, 5.817 Å; angles 90.00, 90.00, 90.00 degrees
Fractional coordinates of all 5 atoms:
Rb (0.000, 0.000, 0.000)
Ca (0.000, 0.500, 0.500)
Ca (0.500, 0.000, 0.500)
Ca (0.500, 0.500, 0.000)
P (0.500, 0.500, 0.500)

Results
* size of the total moment: 1.745 μB/f.u.
* offset from the most stable computed form: 0.0 kJ/mol of formula units
* symmetry: Pm-3m, No. 221
* DOS(E_F): 0.648 states/eV/atom
* calculated formation energy: -0.342 eV per atom

=====

Entry from Alexandria: a geometry-optimized RbCaReP2 structure (GGA-PBE).

Cell lengths 4.738, 4.738, 5.612 Å; angles 90.00, 90.00, 90.00 degrees
Fractional coordinates of all 5 atoms:
Rb (0.000, 0.000, 0.000)
Ca (0.500, 0.500, 0.000)
Re (0.000, 0.000, 0.500)
P (0.000, 0.500, 0.500)
P (0.500, 0.000, 0.500)

Results
* size of the total moment: 0.000 μB/f.u.
* symmetry: P4/mmm, No. 123
* DOS(E_F): 0.788 states/eV/atom
* calculated formation energy: 0.539 eV per atom

=====

Entry from Alexandria: a geometry-optimized Rb2CaP2S6 structure (GGA-PBE).

Cell lengths 8.143, 8.143, 8.143 Å; angles 51.35, 51.35, 51.35 degrees
Fractional coordinates of all 11 atoms:
Rb (0.229, 0.229, 0.229)
Rb (0.771, 0.771, 0.771)
Ca (0.000, 0.000, 0.000)
P (0.445, 0.445, 0.445)
P (0.555, 0.555, 0.555)
S (0.254, 0.738, 0.738)
S (0.262, 0.262, 0.746)
S (0.262, 0.746, 0.262)
S (0.738, 0.254, 0.738)
S (0.738, 0.738, 0.254)
S (0.746, 0.262, 0.262)

Results
* size of the total moment: 0.000 μB/f.u.
* energy relative to the elements, uncorrected: -0.93 eV/atom
* symmetry: R-3m, No. 166

=====

Q: What is the size of the total moment in the third record?
A: 5.002 μB/f.u.

=====

Repeat the fourth record exactly.
Entry from Alexandria: a geometry-optimized CaSmPu2P4 structure (GGA-PBE).

Cell lengths 6.986, 6.986, 6.986 Å; angles 131.54, 131.54, 70.96 degrees
Fractional coordinates of all 8 atoms:
Ca (0.000, 0.000, 0.000)
Sm (0.500, 0.500, 0.000)
Pu (0.250, 0.750, 0.500)
Pu (0.750, 0.250, 0.500)
P (0.000, 0.500, 0.500)
P (0.253, 0.253, 0.000)
P (0.500, 0.000, 0.500)
P (0.747, 0.747, 0.000)

Results
* size of the total moment: 9.025 μB/f.u.
* symmetry: I4/mmm, No. 139
* DOS(E_F): 2.458 states/eV/atom
* calculated formation energy: -1.184 eV per atom

=====

Copy entry 10 word for word.
Entry from Alexandria: a geometry-optimized RbCa3P structure (GGA-PBE).

Cell lengths 5.817, 5.817, 5.817 Å; angles 90.00, 90.00, 90.00 degrees
Fractional coordinates of all 5 atoms:
Rb (0.000, 0.000, 0.000)
Ca (0.000, 0.500, 0.500)
Ca (0.500, 0.000, 0.500)
Ca (0.500, 0.500, 0.000)
P (0.500, 0.500, 0.500)

Results
* size of the total moment: 1.745 μB/f.u.
* offset from the most stable computed form: 0.0 kJ/mol of formula units
* symmetry: Pm-3m, No. 221
* DOS(E_F): 0.648 states/eV/atom
* calculated formation energy: -0.342 eV per atom